# 1
A plane-wave DFT calculation with PBE-GGA was carried out for a geometry-optimized Pm2SmTm structure.

Cell: 3.605 3.605 10.185 Å, 90.00 90.00 90.00°
Positions (direct):
1 Pm 0.000 0.000 0.246
2 Pm 0.000 0.000 0.754
3 Sm 0.500 0.500 0.500
4 Tm 0.500 0.500 0.000

Volume, Å³/cell: 132
Spin magnetization, μB per cell: 0.00
Energy of formation from the pure elements, eV per formula unit: 0.080
Theoretical density, kg/m3: 7643
Energy above the lowest structure with this stoichiometry, meV per atom: 3.1

***

# 2
A plane-wave DFT calculation with PBE-GGA was carried out for a geometry-optimized PmSm5Tm2 structure.

Cell: 7.192 14.384 5.074 Å, 90.00 90.00 90.00°
Positions (direct):
1 Pm 0.000 0.000 0.000
2 Pm 0.500 0.500 0.000
3 Sm 0.000 0.250 0.000
4 Sm 0.000 0.500 0.000
5 Sm 0.000 0.750 0.000
6 Sm 0.250 0.125 0.500
7 Sm 0.250 0.625 0.500
8 Sm 0.500 0.000 0.000
9 Sm 0.500 0.250 0.000
10 Sm 0.500 0.750 0.000
11 Sm 0.750 0.375 0.500
12 Sm 0.750 0.875 0.500
13 Tm 0.250 0.375 0.500
14 Tm 0.250 0.875 0.500
15 Tm 0.750 0.125 0.500
16 Tm 0.750 0.625 0.500

Volume, Å³/cell: 525
Spin magnetization, μB per cell: 0.00
Energy of formation from the pure elements, eV per formula unit: 0.126
Theoretical density, kg/m3: 7812